DFT (PBE-GGA) results for crystalline RbTbSb2Au2 at its relaxed geometry.

## Properties
- N(E_F) (states/eV per atom) = 0.296
- volume (A^3/atom) = 30.14
- E_tot (eV/atom) = -4.099
- raw formation energy (meV per atom) = -699

a = 4.6773 Å, b = 4.6773 Å, c = 9.5445 Å
α = 90.00°, β = 90.00°, γ = 120.00°
Space group P-3m1 (No. 164)
Asymmetric unit:
Rb: 0.0000 0.0000 0.0000 [1 per cell]
Tb: 0.0000 0.0000 0.5000 [1 per cell]
Sb: 0.3333 0.6667 0.7198 [2 per cell]
Au: 0.3333 0.6667 0.3328 [2 per cell]